1.
The following is a PBE calculation of a relaxed structure of LiZnPd2, from the Alexandria database.

Computed properties:
mass density: 8.54 Mg/m³
DOS(E_F): 0.69 states/eV per cell
calculated total energy: -3.926 eV per atom
formation energy: -51.4 kJ per mole of atoms

Unit cell a=3.042 b=3.042 c=5.997 alpha=90.00 beta=90.00 gamma=90.00
Space group P4/mmm (No. 123)
Symmetry-distinct sites (fractional):
Li: 0.000 0.000 0.000
Zn: 0.000 0.000 0.500
Pd: 0.500 0.500 0.247

=====

2.
The following is a PBE calculation of a relaxed structure of LiScFe2, from the Alexandria database.

Computed properties:
mass density: 4.61 Mg/m³
DOS(E_F): 8.47 states/eV per cell
calculated total energy: -6.006 eV per atom
formation energy: 27.7 kJ per mole of atoms

Unit cell a=5.375 b=7.714 c=2.844 alpha=90.00 beta=90.00 gamma=90.00
Space group Cmmm (No. 65)
Symmetry-distinct sites (fractional):
Li: 0.000 0.000 0.000
Sc: 0.000 0.500 0.000
Fe: 0.250 0.250 0.500

=====

3.
The following is a PBE calculation of a relaxed structure of Li4Mg2Al3, from the Alexandria database.

Computed properties:
mass density: 1.55 Mg/m³
energy above the lowest structure with this stoichiometry: 99.0 meV/atom
DOS(E_F): 7.19 states/eV per cell
calculated total energy: -2.436 eV per atom
formation energy: 1.5 kJ per mole of atoms

Unit cell a=5.408 b=15.922 c=7.849 alpha=90.00 beta=90.00 gamma=90.00
Space group Cmce (No. 64)
Symmetry-distinct sites (fractional):
Li: 0.000 0.169 0.003
Li: 0.250 0.079 0.750
Mg: 0.000 0.088 0.374
Al: 0.000 0.000 0.000
Al: 0.250 0.249 0.250

=====

4.
The following is a PBE calculation of a relaxed structure of Rh2SeN2, from the Alexandria database.

Computed properties:
mass density: 7.03 Mg/m³
energy above the lowest structure with this stoichiometry: 387.3 meV/atom
DOS(E_F): 7.12 states/eV per cell
calculated total energy: -6.075 eV per atom
formation energy without anion corrections: 0.892 eV per atom

Unit cell a=4.157 b=4.157 c=8.550 alpha=90.00 beta=90.00 gamma=90.00
Space group I4/mmm (No. 139)
Symmetry-distinct sites (fractional):
Rh: 0.000 0.500 0.250
Se: 0.000 0.000 0.000
N: 0.000 0.000 0.258

=====

5.
The following is a PBE calculation of a relaxed structure of Th2CuNi12Ge3, from the Alexandria database.

Computed properties:
mass density: 9.40 Mg/m³
DOS(E_F): 43.73 states/eV per cell
calculated total energy: -5.790 eV per atom
formation energy: -11.1 kJ per mole of atoms

Unit cell a=8.5255 b=8.5255 c=12.2043 alpha=90.00 beta=90.00 gamma=120.00
Space group R-3m (No. 166, hexagonal axes)
Symmetry-distinct sites (fractional):
Th: 0.0000 0.0000 0.1586
Cu: 0.0000 0.0000 0.5000
Ni: 0.0016 0.5008 0.3914
Ni: 0.0118 0.5059 0.1967
Ge: 0.0000 0.5000 0.0000

=====

6.
The following is a PBE calculation of a relaxed structure of NaCaDy2S4, from the Alexandria database.

Computed properties:
mass density: 4.83 Mg/m³
DOS(E_F): 2.55 states/eV per cell
calculated total energy: -5.584 eV per atom
formation energy without anion corrections: -1.955 eV per atom

Unit cell a=6.831 b=3.949 c=6.966 alpha=90.00 beta=109.02 gamma=90.00
Space group P2/m (No. 10)
Symmetry-distinct sites (fractional):
Na: 0.000 0.000 0.000
Ca: 0.500 0.500 0.000
Dy: 0.000 0.500 0.500
Dy: 0.500 0.000 0.500
S: 0.248 0.000 0.741
S: 0.257 0.500 0.263

=====

7.
The following is a PBE calculation of a relaxed structure of ZrSnPd2, from the Alexandria database.

Computed properties:
mass density: 9.19 Mg/m³
DOS(E_F): 1.24 states/eV per cell
calculated total energy: -6.364 eV per atom
formation energy: -60.8 kJ per mole of atoms

Unit cell a=3.526 b=3.526 c=6.144 alpha=90.00 beta=90.00 gamma=90.00
Space group P4/mmm (No. 123)
Symmetry-distinct sites (fractional):
Zr: 0.000 0.000 0.000
Sn: 0.000 0.000 0.500
Pd: 0.500 0.500 0.229

=====

8.
The following is a PBE calculation of a relaxed structure of La6Ni2Pd, from the Alexandria database.

Computed properties:
mass density: 6.94 Mg/m³
DOS(E_F): 32.74 states/eV per cell
calculated total energy: -5.471 eV per atom
formation energy: -31.3 kJ per mole of atoms

Unit cell a=9.385 b=10.290 c=10.485 alpha=90.00 beta=90.00 gamma=90.00
Space group Immm (No. 71)
Symmetry-distinct sites (fractional):
La: 0.000 0.200 0.208
La: 0.197 0.326 0.500
La: 0.210 0.500 0.166
Ni: 0.000 0.367 0.000
Ni: 0.000 0.500 0.365
Pd: 0.000 0.000 0.000
Pd: 0.000 0.000 0.500

=====

9.
The following is a PBE calculation of a relaxed structure of MgMn2Cd2, from the Alexandria database.

Computed properties:
mass density: 6.60 Mg/m³
energy above the lowest structure with this stoichiometry: 98.6 meV/atom
DOS(E_F): 8.25 states/eV per cell
calculated total energy: -3.961 eV per atom
formation energy: 37.8 kJ per mole of atoms

Unit cell a=3.134 b=3.134 c=18.382 alpha=90.00 beta=90.00 gamma=90.00
Space group I4/mmm (No. 139)
Symmetry-distinct sites (fractional):
Mg: 0.000 0.000 0.000
Mn: 0.000 0.500 0.250
Cd: 0.000 0.000 0.381

=====

10.
The following is a PBE calculation of a relaxed structure of Ba2GaNiN, from the Alexandria database.

Computed properties:
mass density: 5.54 Mg/m³
DOS(E_F): 5.15 states/eV per cell
calculated total energy: -4.518 eV per atom
formation energy without anion corrections: -0.323 eV per atom

Unit cell a=5.913 b=5.913 c=3.576 alpha=90.00 beta=90.00 gamma=90.00
Space group P4/mmm (No. 123)
Symmetry-distinct sites (fractional):
Ba: 0.000 0.500 0.000
Ga: 0.000 0.000 0.500
Ni: 0.500 0.500 0.500
N: 0.500 0.500 0.000

=====

11.
The following is a PBE calculation of a relaxed structure of FeHN, from the Alexandria database.

Computed properties:
mass density: 4.25 Mg/m³
energy above the lowest structure with this stoichiometry: 254.3 meV/atom
DOS(E_F): 3.90 states/eV per cell
calculated total energy: -6.505 eV per atom

Unit cell a=2.711 b=2.711 c=7.536 alpha=90.00 beta=90.00 gamma=90.00
Space group I4mm (No. 107)
Symmetry-distinct sites (fractional):
Fe: 0.000 0.000 0.000
H: 0.000 0.000 0.695
N: 0.000 0.000 0.553

=====

12.
The following is a PBE calculation of a relaxed structure of Tm3Cd3In2, from the Alexandria database.

Computed properties:
mass density: 8.79 Mg/m³
DOS(E_F): 18.60 states/eV per cell
calculated total energy: -2.988 eV per atom
formation energy: -27.3 kJ per mole of atoms

Unit cell a=4.713 b=11.248 c=15.311 alpha=90.00 beta=90.00 gamma=90.00
Space group Cmcm (No. 63)
Symmetry-distinct sites (fractional):
Tm: 0.000 0.080 0.113
Tm: 0.000 0.345 0.250
Cd: 0.000 0.382 0.750
Cd: 0.000 0.385 0.036
In: 0.000 0.208 0.612

=====

13.
The following is a PBE calculation of a relaxed structure of NaSrGe2Au5, from the Alexandria database.

Computed properties:
mass density: 10.31 Mg/m³
DOS(E_F): 2.46 states/eV per cell
calculated total energy: -3.499 eV per atom
formation energy: -30.8 kJ per mole of atoms

Unit cell a=4.689 b=4.689 c=9.087 alpha=90.00 beta=90.00 gamma=90.00
Space group P4/mmm (No. 123)
Symmetry-distinct sites (fractional):
Na: 0.000 0.000 0.000
Sr: 0.000 0.000 0.500
Ge: 0.500 0.500 0.144
Au: 0.000 0.500 0.262
Au: 0.500 0.500 0.500

=====

14.
The following is a PBE calculation of a relaxed structure of NbFe3Si, from the Alexandria database.

Computed properties:
mass density: 7.44 Mg/m³
energy above the lowest structure with this stoichiometry: 0.0 meV/atom
DOS(E_F): 20.10 states/eV per cell
calculated total energy: -8.310 eV per atom
formation energy without anion corrections: -0.134 eV per atom

Unit cell a=4.657 b=6.485 c=8.527 alpha=90.00 beta=90.00 gamma=90.00
Space group Imma (No. 74)
Symmetry-distinct sites (fractional):
Nb: 0.000 0.250 0.014
Fe: 0.000 0.250 0.312
Fe: 0.250 0.065 0.750
Si: 0.000 0.000 0.500

=====

15.
The following is a PBE calculation of a relaxed structure of Pr3Ga3Rh2, from the Alexandria database.

Computed properties:
mass density: 7.73 Mg/m³
DOS(E_F): 21.79 states/eV per cell
calculated total energy: -5.483 eV per atom
formation energy: -69.2 kJ per mole of atoms

Unit cell a=8.055 b=15.368 c=5.818 alpha=90.00 beta=90.00 gamma=90.00
Space group Pnma (No. 62)
Symmetry-distinct sites (fractional):
Pr: 0.031 0.107 0.113
Pr: 0.161 0.250 0.618
Ga: 0.168 0.038 0.597
Ga: 0.182 0.750 0.610
Rh: 0.124 0.606 0.372

=====

16.
The following is a PBE calculation of a relaxed structure of V2FeAu, from the Alexandria database.

Computed properties:
mass density: 9.99 Mg/m³
energy above the lowest structure with this stoichiometry: 192.2 meV/atom
DOS(E_F): 17.06 states/eV per cell
calculated total energy: -7.321 eV per atom
formation energy: 16.7 kJ per mole of atoms

Unit cell a=6.178 b=6.178 c=6.178 alpha=90.00 beta=90.00 gamma=90.00
Space group Fm-3m (No. 225)
Symmetry-distinct sites (fractional):
V: 0.250 0.250 0.250
Fe: 0.000 0.000 0.000
Au: 0.000 0.000 0.500

=====

17.
The following is a PBE calculation of a relaxed structure of Ac8GeIr3S4, from the Alexandria database.

Computed properties:
mass density: 8.86 Mg/m³
DOS(E_F): 24.05 states/eV per cell
calculated total energy: -6.347 eV per atom
formation energy without anion corrections: -1.311 eV per atom

Unit cell a=8.6977 b=8.6977 c=22.2581 alpha=90.00 beta=90.00 gamma=120.00
Space group R-3m (No. 166, hexagonal axes)
Symmetry-distinct sites (fractional):
Ac: 0.0000 0.0000 0.2466
Ac: 0.0100 0.5050 0.7561
Ge: 0.0000 0.0000 0.5000
Ir: 0.0000 0.5000 0.5000
S: 0.0000 0.0000 0.0000
S: 0.0000 0.5000 0.0000

=====

18.
The following is a PBE calculation of a relaxed structure of Na10B17C3, from the Alexandria database.

Computed properties:
mass density: 2.28 Mg/m³
energy above the lowest structure with this stoichiometry: 9.5 meV/atom
DOS(E_F): 17.62 states/eV per cell
calculated total energy: -4.932 eV per atom
formation energy: 20.7 kJ per mole of atoms

Unit cell a=18.159 b=2.826 c=13.779 alpha=90.00 beta=112.08 gamma=90.00
Space group Cm (No. 8)
Symmetry-distinct sites (fractional):
Na: 0.000 0.000 0.000
Na: 0.000 0.000 0.496
Na: 0.098 0.500 0.696
Na: 0.099 0.500 0.200
Na: 0.198 0.000 0.397
Na: 0.199 0.000 0.899
Na: 0.299 0.500 0.593
Na: 0.300 0.500 0.099
Na: 0.400 0.000 0.298
Na: 0.400 0.000 0.798
B: 0.029 0.000 0.306
B: 0.031 0.000 0.810
B: 0.069 0.500 0.386
B: 0.071 0.500 0.893
B: 0.133 0.500 0.018
B: 0.135 0.500 0.517
B: 0.173 0.000 0.097
B: 0.224 0.000 0.696
B: 0.262 0.500 0.272
B: 0.267 0.500 0.782
B: 0.327 0.500 0.402
B: 0.329 0.500 0.908
B: 0.365 0.000 0.478
B: 0.371 0.000 0.993
B: 0.429 0.000 0.605
B: 0.437 0.000 0.125
B: 0.469 0.500 0.685
C: 0.166 0.000 0.580
C: 0.232 0.000 0.213
C: 0.468 0.500 0.187

=====

19.
The following is a PBE calculation of a relaxed structure of Ca2SbS2, from the Alexandria database.

Computed properties:
mass density: 3.55 Mg/m³
energy above the lowest structure with this stoichiometry: 77.4 meV/atom
DOS(E_F): 2.94 states/eV per cell
calculated total energy: -4.237 eV per atom
formation energy without anion corrections: -0.961 eV per atom

Unit cell a=3.931 b=3.931 c=16.102 alpha=90.00 beta=90.00 gamma=90.00
Space group I4/mmm (No. 139)
Symmetry-distinct sites (fractional):
Ca: 0.000 0.000 0.123
Sb: 0.000 0.000 0.500
S: 0.000 0.500 0.250

=====

20.
The following is a PBE calculation of a relaxed structure of CdCo2Pt9, from the Alexandria database.

Computed properties:
mass density: 17.95 Mg/m³
DOS(E_F): 17.99 states/eV per cell
calculated total energy: -5.894 eV per atom
formation energy: -9.9 kJ per mole of atoms

Unit cell a=3.933 b=3.933 c=11.880 alpha=90.00 beta=90.00 gamma=90.00
Space group P4/mmm (No. 123)
Symmetry-distinct sites (fractional):
Cd: 0.000 0.000 0.000
Co: 0.000 0.000 0.336
Pt: 0.000 0.500 0.178
Pt: 0.000 0.500 0.500
Pt: 0.500 0.500 0.000
Pt: 0.500 0.500 0.339